Entry 1:
Entry from the Alexandria database: crystalline IrSe2N2 at its relaxed geometry (PBE-GGA).

a = 3.598 Å, b = 3.598 Å, c = 8.618 Å
α = 90.00°, β = 90.00°, γ = 90.00°
Element x y z (fractional)
Ir1 0.000 0.000 0.000
Se1 0.500 0.500 0.000
Se2 0.500 0.500 0.500
N1 0.000 0.500 0.500
N2 0.500 0.000 0.500

Output
The value obtained for the formation energy from raw total energies is 1.810 eV per atom.


Entry 2:
Entry from the Alexandria database: crystalline SrIrSe2N at its relaxed geometry (PBE-GGA).

a = 5.323 Å, b = 5.323 Å, c = 3.727 Å
α = 90.00°, β = 90.00°, γ = 90.00°
Element x y z (fractional)
Sr1 0.000 0.000 0.000
Ir1 0.500 0.500 0.500
Se1 0.000 0.500 0.500
Se2 0.500 0.000 0.500
N1 0.500 0.500 0.000

Output
The value obtained for the formation energy from raw total energies is -0.492 eV per atom.


Entry 3:
Entry from the Alexandria database: crystalline Sr2IrSeN at its relaxed geometry (PBE-GGA).

a = 5.806 Å, b = 5.806 Å, c = 3.782 Å
α = 90.00°, β = 90.00°, γ = 90.00°
Element x y z (fractional)
Sr1 0.000 0.500 0.000
Sr2 0.500 0.000 0.000
Ir1 0.000 0.000 0.000
Se1 0.500 0.500 0.500
N1 0.000 0.000 0.500

Output
The value obtained for the formation energy from raw total energies is -0.785 eV per atom.


Entry 4:
Entry from the Alexandria database: crystalline Sr2IrSeN at its relaxed geometry (PBE-GGA).

a = 5.499 Å, b = 5.499 Å, c = 3.779 Å
α = 90.00°, β = 90.00°, γ = 90.00°
Element x y z (fractional)
Sr1 0.000 0.500 0.000
Sr2 0.500 0.000 0.000
Ir1 0.000 0.000 0.500
Se1 0.500 0.500 0.500
N1 0.000 0.000 0.000

Output
The value obtained for the formation energy from raw total energies is -1.048 eV per atom.


Entry 5:
Entry from the Alexandria database: crystalline SrIrSe2N at its relaxed geometry (PBE-GGA).

a = 5.667 Å, b = 5.667 Å, c = 4.471 Å
α = 90.00°, β = 90.00°, γ = 90.00°
Element x y z (fractional)
Sr1 0.000 0.000 0.000
Ir1 0.500 0.500 0.500
Se1 0.000 0.500 0.000
Se2 0.500 0.000 0.000
N1 0.000 0.000 0.500

Output
The value obtained for the formation energy from raw total energies is 1.763 eV per atom.


Entry 6:
Entry from the Alexandria database: crystalline TeIrSe2N at its relaxed geometry (PBE-GGA).

a = 5.293 Å, b = 5.293 Å, c = 3.789 Å
α = 90.00°, β = 90.00°, γ = 90.00°
Element x y z (fractional)
Te1 0.000 0.000 0.000
Ir1 0.500 0.500 0.500
Se1 0.000 0.500 0.000
Se2 0.500 0.000 0.000
N1 0.000 0.000 0.500

Output
The value obtained for the formation energy from raw total energies is 1.638 eV per atom.


Entry 7:
Entry from the Alexandria database: crystalline TeIrSeN2 at its relaxed geometry (PBE-GGA).

a = 3.803 Å, b = 3.803 Å, c = 8.064 Å
α = 90.00°, β = 90.00°, γ = 90.00°
Element x y z (fractional)
Te1 0.000 0.000 0.000
Ir1 0.500 0.500 0.500
Se1 0.500 0.500 0.000
N1 0.000 0.500 0.500
N2 0.500 0.000 0.500

Output
The value obtained for the formation energy from raw total energies is 0.872 eV per atom.


Entry 8:
Entry from the Alexandria database: crystalline TeIrSeN2 at its relaxed geometry (PBE-GGA).

a = 3.722 Å, b = 3.722 Å, c = 8.499 Å
α = 90.00°, β = 90.00°, γ = 90.00°
Element x y z (fractional)
Te1 0.000 0.000 0.000
Ir1 0.500 0.500 0.000
Se1 0.000 0.000 0.500
N1 0.000 0.500 0.500
N2 0.500 0.000 0.500

Output
The value obtained for the formation energy from raw total energies is 1.780 eV per atom.


Entry 9:
Entry from the Alexandria database: crystalline TeIrSeN2 at its relaxed geometry (PBE-GGA).

a = 3.846 Å, b = 3.846 Å, c = 6.232 Å
α = 90.00°, β = 90.00°, γ = 90.00°
Element x y z (fractional)
Te1 0.000 0.000 0.000
Ir1 0.500 0.500 0.500
Se1 0.000 0.000 0.500
N1 0.000 0.500 0.000
N2 0.500 0.000 0.000

Output
The value obtained for the formation energy from raw total energies is 1.864 eV per atom.


Entry 10:
Entry from the Alexandria database: crystalline TeIrSeN2 at its relaxed geometry (PBE-GGA).

a = 3.841 Å, b = 3.841 Å, c = 6.119 Å
α = 90.00°, β = 90.00°, γ = 90.00°
Element x y z (fractional)
Te1 0.000 0.000 0.000
Ir1 0.000 0.000 0.500
Se1 0.500 0.500 0.000
N1 0.000 0.500 0.500
N2 0.500 0.000 0.500

Output
The value obtained for the formation energy from raw total energies is 0.804 eV per atom.


Entry 11:
Entry from the Alexandria database: crystalline TeIrSe2N at its relaxed geometry (PBE-GGA).

a = 5.196 Å, b = 5.196 Å, c = 3.699 Å
α = 90.00°, β = 90.00°, γ = 90.00°
Element x y z (fractional)
Te1 0.000 0.000 0.000
Ir1 0.500 0.500 0.500
Se1 0.000 0.500 0.500
Se2 0.500 0.000 0.500
N1 0.500 0.500 0.000

Output
The value obtained for the formation energy from raw total energies is 0.386 eV per atom.


Entry 12:
Entry from the Alexandria database: crystalline Th4IrSe2N at its relaxed geometry (PBE-GGA).

a = 7.056 Å, b = 3.908 Å, c = 7.458 Å
α = 90.00°, β = 108.25°, γ = 90.00°
Element x y z (fractional)
Th1 0.211 0.000 0.207
Th2 0.250 0.500 0.779
Th3 0.750 0.500 0.221
Th4 0.789 0.000 0.793
Ir1 0.500 0.000 0.000
Se1 0.000 0.000 0.500
Se2 0.500 0.500 0.500
N1 0.000 0.500 0.000

Output
The value obtained for the formation energy from raw total energies is -1.336 eV per atom.